# 1
The following is a DFT calculation (PBE-GGA) of a geometry-optimized PbAuI6 structure.

Unit cell a=6.8588 b=7.3781 c=7.7069 alpha=108.31 beta=94.18 gamma=110.98
Last column: nearest neighbours and their distance in Å.
Space group P-1 (No. 2)
Asymmetric unit:
1 Pb 0.0000 0.0000 0.0000 (multiplicity 1)  6 I 3.29-3.30
2 Au 0.5000 0.0000 0.5000 (multiplicity 1)  4 I 2.67-2.71
3 I 0.2415 0.1828 0.4406 (multiplicity 2)  1 Au 2.67
4 I 0.2433 0.4812 0.0121 (multiplicity 2)  1 Pb 3.30, 2 I 3.44-3.45
5 I 0.2806 0.8172 0.7206 (multiplicity 2)  1 Au 2.71

Calculated values
size of the total moment = 0.00 μB per formula unit
raw formation energy = -1.27 eV/f.u.

---

# 2
The following is a DFT calculation (PBE-GGA) of a geometry-optimized PbAuI structure.

Unit cell a=4.3546 b=4.3546 c=5.7793 alpha=90.00 beta=90.00 gamma=120.00
Last column: nearest neighbours and their distance in Å.
Space group P3m1 (No. 156)
Asymmetric unit:
1 Pb 0.0000 0.0000 0.0000 (multiplicity 1)  3 Au 2.93
2 Au 0.3333 0.6667 0.2595 (multiplicity 1)  3 Pb 2.93, 3 I 3.17
3 I 0.6667 0.3333 0.5922 (multiplicity 1)  3 Au 3.17, 3 Pb 3.45

Calculated values
size of the total moment = 0.00 μB per formula unit
raw formation energy = -0.47 eV/f.u.

---

# 3
The following is a DFT calculation (PBE-GGA) of a geometry-optimized PbAu3I structure.

Unit cell a=5.3772 b=5.3772 c=5.3772 alpha=90.00 beta=90.00 gamma=90.00
Last column: nearest neighbours and their distance in Å.
Space group Pm-3m (No. 221)
Asymmetric unit:
1 Pb 0.0000 0.0000 0.0000 (multiplicity 1)  12 Au 3.80
2 Au 0.0000 0.5000 0.5000 (multiplicity 3)  2 I 2.69
3 I 0.5000 0.5000 0.5000 (multiplicity 1)  6 Au 2.69

Calculated values
size of the total moment = 0.00 μB per formula unit
raw formation energy = 3.72 eV/f.u.

---

# 4
The following is a DFT calculation (PBE-GGA) of a geometry-optimized Pb3AuI structure.

Unit cell a=5.6786 b=5.6786 c=5.6786 alpha=90.00 beta=90.00 gamma=90.00
Last column: nearest neighbours and their distance in Å.
Space group Pm-3m (No. 221)
Asymmetric unit:
1 Pb 0.0000 0.0000 0.5000 (multiplicity 3)  2 Au 2.84
2 Au 0.0000 0.0000 0.0000 (multiplicity 1)  6 Pb 2.84
3 I 0.5000 0.5000 0.5000 (multiplicity 1)  12 Pb 4.02

Calculated values
size of the total moment = 0.00 μB per formula unit
raw formation energy = 0.82 eV/f.u.

---

# 5
The following is a DFT calculation (PBE-GGA) of a geometry-optimized PbAu3I structure.

Unit cell a=5.4166 b=5.4166 c=5.4166 alpha=90.00 beta=90.00 gamma=90.00
Last column: nearest neighbours and their distance in Å.
Space group Pm-3m (No. 221)
Asymmetric unit:
1 Pb 0.0000 0.0000 0.0000 (multiplicity 1)  6 Au 2.71
2 Au 0.0000 0.0000 0.5000 (multiplicity 3)  2 Pb 2.71
3 I 0.5000 0.5000 0.5000 (multiplicity 1)  12 Au 3.83

Calculated values
size of the total moment = 0.00 μB per formula unit
raw formation energy = 3.12 eV/f.u.

---

# 6
The following is a DFT calculation (PBE-GGA) of a geometry-optimized PbAuI structure.

Unit cell a=4.5240 b=4.5240 c=34.8763 alpha=90.00 beta=90.00 gamma=120.00
Last column: nearest neighbours and their distance in Å.
Space group R-3m (No. 166, hexagonal axes)
Asymmetric unit:
1 Pb 0.0000 0.0000 0.0598 (multiplicity 6)  3 Au 3.04, 3 I 3.27
2 Au 0.0000 0.0000 0.3486 (multiplicity 6)  3 Au 2.82, 3 Pb 3.04
3 I 0.0000 0.0000 0.2170 (multiplicity 6)  3 Pb 3.27

Calculated values
size of the total moment = 0.00 μB per formula unit
raw formation energy = -0.74 eV/f.u.

---

# 7
The following is a DFT calculation (PBE-GGA) of a geometry-optimized RbPbAuI2 structure.

Unit cell a=6.4736 b=6.4736 c=5.9305 alpha=90.00 beta=90.00 gamma=90.00
Last column: nearest neighbours and their distance in Å.
Space group P4/mmm (No. 123)
Asymmetric unit:
1 Rb 0.0000 0.0000 0.0000 (multiplicity 1)  2 Au 2.97, 4 I 3.24
2 Pb 0.5000 0.5000 0.5000 (multiplicity 1)  8 I 4.39, 4 Au 4.58
3 Au 0.0000 0.0000 0.5000 (multiplicity 1)  2 Rb 2.97
4 I 0.0000 0.5000 0.0000 (multiplicity 2)  2 Rb 3.24

Calculated values
size of the total moment = 0.00 μB per formula unit
raw formation energy = 1.17 eV/f.u.

---

# 8
The following is a DFT calculation (PBE-GGA) of a geometry-optimized Rb2PbAuI6 structure.

Unit cell a=7.8156 b=8.4732 c=8.7944 alpha=116.61 beta=115.28 gamma=91.83
Last column: nearest neighbours and their distance in Å.
Space group P-1 (No. 2)
Asymmetric unit:
1 Rb 0.2472 0.2284 0.4963 (multiplicity 2)  7 I 3.79-4.13
2 Pb 0.5000 0.0000 0.0000 (multiplicity 1)  6 I 3.19-3.26
3 Au 0.0000 0.5000 0.0000 (multiplicity 1)  4 I 2.71-2.86
4 I 0.1751 0.2146 0.0211 (multiplicity 2)  1 Au 2.86, 1 Pb 3.19
5 I 0.2704 0.7993 0.5327 (multiplicity 2)  1 Pb 3.20
6 I 0.2914 0.6362 0.9650 (multiplicity 2)  1 Au 2.71

Calculated values
size of the total moment = 0.00 μB per formula unit
raw formation energy = -7.62 eV/f.u.

---

# 9
The following is a DFT calculation (PBE-GGA) of a geometry-optimized TePbAuI2 structure.

Unit cell a=6.0994 b=6.0994 c=6.0381 alpha=90.00 beta=90.00 gamma=90.00
Last column: nearest neighbours and their distance in Å.
Space group P4/mmm (No. 123)
Asymmetric unit:
1 Te 0.0000 0.0000 0.0000 (multiplicity 1)  2 Pb 3.02
2 Pb 0.0000 0.0000 0.5000 (multiplicity 1)  2 Te 3.02, 4 I 3.05
3 Au 0.5000 0.5000 0.0000 (multiplicity 1)  8 I 4.29, 4 Te 4.31
4 I 0.0000 0.5000 0.5000 (multiplicity 2)  2 Pb 3.05

Calculated values
size of the total moment = 0.60 μB per formula unit
raw formation energy = 2.57 eV/f.u.

---

# 10
The following is a DFT calculation (PBE-GGA) of a geometry-optimized Te2PbAuI structure.

Unit cell a=5.5292 b=5.5292 c=5.5441 alpha=90.00 beta=90.00 gamma=90.00
Last column: nearest neighbours and their distance in Å.
Space group P4/mmm (No. 123)
Asymmetric unit:
1 Te 0.0000 0.5000 0.0000 (multiplicity 2)  2 Au 2.76
2 Pb 0.0000 0.0000 0.5000 (multiplicity 1)  4 I 3.91, 8 Te 3.91
3 Au 0.5000 0.5000 0.0000 (multiplicity 1)  4 Te 2.76, 2 I 2.77
4 I 0.5000 0.5000 0.5000 (multiplicity 1)  2 Au 2.77

Calculated values
size of the total moment = 0.00 μB per formula unit
raw formation energy = 0.77 eV/f.u.

---

# 11
The following is a DFT calculation (PBE-GGA) of a geometry-optimized TePbAuI2 structure.

Unit cell a=5.5607 b=5.5607 c=5.6932 alpha=90.00 beta=90.00 gamma=90.00
Last column: nearest neighbours and their distance in Å.
Space group P4/mmm (No. 123)
Asymmetric unit:
1 Te 0.0000 0.0000 0.0000 (multiplicity 1)  2 Au 2.85
2 Pb 0.5000 0.5000 0.0000 (multiplicity 1)  4 Te 3.93, 8 I 3.98
3 Au 0.0000 0.0000 0.5000 (multiplicity 1)  4 I 2.78, 2 Te 2.85
4 I 0.0000 0.5000 0.5000 (multiplicity 2)  2 Au 2.78

Calculated values
size of the total moment = 0.00 μB per formula unit
raw formation energy = 0.39 eV/f.u.

---

# 12
The following is a DFT calculation (PBE-GGA) of a geometry-optimized Te2PbAuI structure.

Unit cell a=5.9010 b=5.9010 c=6.0429 alpha=90.00 beta=90.00 gamma=90.00
Last column: nearest neighbours and their distance in Å.
Space group P4/mmm (No. 123)
Asymmetric unit:
1 Te 0.0000 0.5000 0.0000 (multiplicity 2)  2 Pb 2.95
2 Pb 0.0000 0.0000 0.0000 (multiplicity 1)  4 Te 2.95, 2 I 3.02
3 Au 0.5000 0.5000 0.5000 (multiplicity 1)  4 I 4.17, 8 Te 4.22
4 I 0.0000 0.0000 0.5000 (multiplicity 1)  2 Pb 3.02

Calculated values
size of the total moment = 0.07 μB per formula unit
raw formation energy = 3.60 eV/f.u.

---

# 13
The following is a DFT calculation (PBE-GGA) of a geometry-optimized PdAu2I8 structure.

Unit cell a=16.9515 b=10.5699 c=8.1771 alpha=90.00 beta=113.05 gamma=90.00
Last column: nearest neighbours and their distance in Å.
Space group C2/m (No. 12)
Asymmetric unit:
1 Pd 0.0000 0.0000 0.0000 (multiplicity 2)  6 I 2.71-2.89
2 Au 0.2329 0.0000 0.0092 (multiplicity 4)  3 I 2.58-2.74
3 I 0.0413 0.0000 0.3781 (multiplicity 4)  1 I 2.85, 1 Pd 2.89
4 I 0.1272 0.1729 0.0703 (multiplicity 8)  1 Pd 2.71, 1 Au 2.74
5 I 0.1371 0.5000 0.0798 (multiplicity 4)  1 Au 2.58

Calculated values
size of the total moment = 0.00 μB per formula unit
raw formation energy = -0.09 eV/f.u.

---

# 14
The following is a DFT calculation (PBE-GGA) of a geometry-optimized PdAuI3 structure.

Unit cell a=5.4734 b=5.4734 c=5.4734 alpha=90.00 beta=90.00 gamma=90.00
Last column: nearest neighbours and their distance in Å.
Space group Pm-3m (No. 221)
Asymmetric unit:
1 Pd 0.0000 0.0000 0.0000 (multiplicity 1)  6 I 2.74
2 Au 0.5000 0.5000 0.5000 (multiplicity 1)  12 I 3.87
3 I 0.0000 0.0000 0.5000 (multiplicity 3)  2 Pd 2.74

Calculated values
size of the total moment = 0.00 μB per formula unit
raw formation energy = 1.86 eV/f.u.

---

# 15
The following is a DFT calculation (PBE-GGA) of a geometry-optimized Pd2AuI8 structure.

Unit cell a=12.5293 b=9.3771 c=7.6847 alpha=90.00 beta=99.96 gamma=90.00
Last column: nearest neighbours and their distance in Å.
Space group C2/m (No. 12)
Asymmetric unit:
1 Pd 0.2057 0.0000 0.1541 (multiplicity 4)  4 I 2.61-2.67
2 Au 0.0000 0.0000 0.5000 (multiplicity 2)  4 I 2.73
3 I 0.0905 0.1907 0.2995 (multiplicity 8)  1 Pd 2.66, 1 Au 2.73
4 I 0.0917 0.5000 0.6685 (multiplicity 4)  1 Pd 2.67
5 I 0.2263 0.5000 0.1477 (multiplicity 4)  1 Pd 2.61

Calculated values
size of the total moment = 0.00 μB per formula unit
raw formation energy = 0.43 eV/f.u.

---

# 16
The following is a DFT calculation (PBE-GGA) of a geometry-optimized Pd2AuI8 structure.

Unit cell a=7.1818 b=7.5962 c=10.2948 alpha=72.78 beta=89.52 gamma=64.62
Last column: nearest neighbours and their distance in Å.
Space group P-1 (No. 2)
Asymmetric unit:
1 Pd 0.2017 0.0983 0.4148 (multiplicity 2)  4 I 2.65-2.68
2 Au 0.0000 0.5000 0.0000 (multiplicity 1)  4 I 2.68
3 I 0.0235 0.0778 0.6422 (multiplicity 2)  2 Pd 2.65-2.66
4 I 0.1949 0.4071 0.7886 (multiplicity 2)  1 Au 2.68
5 I 0.3108 0.1513 0.1621 (multiplicity 2)  1 Au 2.68, 1 Pd 2.68
6 I 0.3982 0.2944 0.4813 (multiplicity 2)  1 Pd 2.67

Calculated values
size of the total moment = 0.00 μB per formula unit
raw formation energy = -1.13 eV/f.u.

---

# 17
The following is a DFT calculation (PBE-GGA) of a geometry-optimized PdAu2I6 structure.

Unit cell a=13.8548 b=11.6243 c=8.8437 alpha=90.00 beta=98.29 gamma=90.00
Last column: nearest neighbours and their distance in Å.
Space group C2/c (No. 15)
Asymmetric unit:
1 Pd 0.0000 0.0593 0.2500 (multiplicity 4)  4 I 2.65-2.66
2 Au 0.2103 0.4436 0.1764 (multiplicity 8)  2 I 2.64-2.66
3 I 0.0988 0.4662 0.4381 (multiplicity 8)  1 Au 2.64
4 I 0.1143 0.1085 0.6747 (multiplicity 8)  1 Pd 2.66, 1 Au 2.66
5 I 0.1387 0.2021 0.1919 (multiplicity 8)  1 Pd 2.65

Calculated values
size of the total moment = 0.00 μB per formula unit
raw formation energy = 0.01 eV/f.u.

---

# 18
The following is a DFT calculation (PBE-GGA) of a geometry-optimized PdAu3I9 structure.

Unit cell a=11.7197 b=14.0046 c=12.8731 alpha=90.00 beta=90.00 gamma=90.00
Last column: nearest neighbours and their distance in Å.
Space group C222_1 (No. 20)
Asymmetric unit:
1 Pd 0.1822 0.0000 0.0000 (multiplicity 4)  6 I 2.71-2.79
2 Au 0.1621 0.0000 0.5000 (multiplicity 4)  4 I 2.68-2.71
3 Au 0.1615 0.2596 0.3521 (multiplicity 8)  4 I 2.69-2.97
4 I 0.0000 0.3583 0.2500 (multiplicity 4)  2 Au 2.69
5 I 0.0050 0.1135 0.0762 (multiplicity 8)  2 Au 2.71-2.97, 1 Pd 2.79
6 I 0.1625 0.3733 0.5819 (multiplicity 8)  1 Pd 2.75
7 I 0.1705 0.0984 0.8190 (multiplicity 8)  1 Pd 2.71, 1 Au 2.83
8 I 0.1884 0.3736 0.9225 (multiplicity 8)  2 Au 2.68-2.72

Calculated values
size of the total moment = 0.00 μB per formula unit
raw formation energy = -0.48 eV/f.u.

---

# 19
The following is a DFT calculation (PBE-GGA) of a geometry-optimized Pd2AuI6 structure.

Unit cell a=7.1868 b=7.1868 c=7.1776 alpha=90.00 beta=90.00 gamma=120.00
Last column: nearest neighbours and their distance in Å.
Space group P-31m (No. 162)
Asymmetric unit:
1 Pd 0.3333 0.6667 0.0000 (multiplicity 2)  6 I 2.81
2 Au 0.0000 0.0000 0.0000 (multiplicity 1)  6 I 3.00
3 I 0.0000 0.3553 0.7800 (multiplicity 6)  2 Pd 2.81, 1 Au 3.00

Calculated values
size of the total moment = 2.90 μB per formula unit
raw formation energy = -0.26 eV/f.u.

---

# 20
The following is a DFT calculation (PBE-GGA) of a geometry-optimized PdAuI5 structure.

Unit cell a=10.7583 b=10.2027 c=10.8969 alpha=90.00 beta=114.96 gamma=90.00
Last column: nearest neighbours and their distance in Å.
Space group C2/c (No. 15)
Asymmetric unit:
1 Pd 0.2500 0.2500 0.0000 (multiplicity 4)  6 I 2.68-2.91
2 Au 0.0000 0.0289 0.2500 (multiplicity 4)  5 I 2.74-2.94
3 I 0.0000 0.2450 0.7500 (multiplicity 4)  1 Au 2.79, 2 Pd 2.91
4 I 0.0950 0.2543 0.1448 (multiplicity 8)  1 Pd 2.74, 1 Au 2.94
5 I 0.2399 0.0116 0.4800 (multiplicity 8)  1 Pd 2.68, 1 Au 2.74

Calculated values
size of the total moment = 0.00 μB per formula unit
raw formation energy = -0.44 eV/f.u.

---

| no. | VASP energy (eV/atom) |
| --- | --- |
| 1 | -2.194 |
| 2 | -3.002 |
| 3 | -2.273 |
| 4 | -3.026 |
| 5 | -2.393 |
| 6 | -3.091 |
| 7 | -1.977 |
| 8 | -2.584 |
| 9 | -2.131 |
| 10 | -2.809 |
| 11 | -2.568 |
| 12 | -2.244 |
| 13 | -2.203 |
| 14 | -2.252 |
| 15 | -2.330 |
| 16 | -2.472 |
| 17 | -2.338 |
| 18 | -2.266 |
| 19 | -2.580 |
| 20 | -2.380 |